A relaxed structure of SrNdH4. Source: Alexandria via LeMat-Bulk, functional PBE.

- Space-group type: No. 123
- Energy: -23.2 eV per formula unit
- Density: 4.4 g cm⁻³
- Crystal system: tetragonal

Cell lengths 3.945, 3.945, 5.720 Å; angles 90.00, 90.00, 90.00 degrees
Atoms (fractional coordinates):
Sr1 0.000 0.000 0.000
Nd1 0.500 0.500 0.500
H1 0.000 0.500 0.267
H2 0.000 0.500 0.733
H3 0.500 0.000 0.267
H4 0.500 0.000 0.733

---

A relaxed structure of Sr5Nd3H12. Source: Alexandria via LeMat-Bulk, functional PBE.

- Space-group type: No. 230
- Energy: -69.7 eV per formula unit
- Density: 4.2 g cm⁻³
- Crystal system: cubic

Cell lengths 12.221, 12.221, 12.221 Å; angles 109.47, 109.47, 109.47 degrees
Atoms (fractional coordinates):
Sr1 0.000 0.000 0.000
Sr2 0.000 0.000 0.500
Sr3 0.000 0.500 0.000
Sr4 0.000 0.500 0.500
Sr5 0.125 0.750 0.875
Sr6 0.125 0.875 0.250
Sr7 0.250 0.125 0.875
Sr8 0.250 0.625 0.375
Sr9 0.375 0.250 0.625
Sr10 0.375 0.625 0.750
Sr11 0.500 0.000 0.000
Sr12 0.500 0.000 0.500
Sr13 0.500 0.500 0.000
Sr14 0.500 0.500 0.500
Sr15 0.625 0.375 0.250
Sr16 0.625 0.750 0.375
Sr17 0.750 0.375 0.625
Sr18 0.750 0.875 0.125
Sr19 0.875 0.125 0.750
Sr20 0.875 0.250 0.125
Nd1 0.125 0.250 0.375
Nd2 0.125 0.375 0.750
Nd3 0.250 0.375 0.125
Nd4 0.250 0.875 0.625
Nd5 0.375 0.125 0.250
Nd6 0.375 0.750 0.125
Nd7 0.625 0.250 0.875
Nd8 0.625 0.875 0.750
Nd9 0.750 0.125 0.375
Nd10 0.750 0.625 0.875
Nd11 0.875 0.625 0.250
Nd12 0.875 0.750 0.625
H1 0.072 0.232 0.156
H2 0.072 0.340 0.916
H3 0.077 0.732 0.660
H4 0.077 0.844 0.416
H5 0.084 0.656 0.423
H6 0.084 0.928 0.660
H7 0.156 0.072 0.232
H8 0.156 0.584 0.923
H9 0.160 0.232 0.577
H10 0.160 0.428 0.584
H11 0.232 0.156 0.072
H12 0.232 0.577 0.160
H13 0.268 0.340 0.923
H14 0.268 0.428 0.344
H15 0.340 0.916 0.072
H16 0.340 0.923 0.268
H17 0.344 0.268 0.428
H18 0.344 0.577 0.916
H19 0.416 0.077 0.844
H20 0.416 0.840 0.572
H21 0.423 0.084 0.656
H22 0.423 0.840 0.768
H23 0.428 0.344 0.268
H24 0.428 0.584 0.160
H25 0.572 0.416 0.840
H26 0.572 0.656 0.732
H27 0.577 0.160 0.232
H28 0.577 0.916 0.344
H29 0.584 0.160 0.428
H30 0.584 0.923 0.156
H31 0.656 0.423 0.084
H32 0.656 0.732 0.572
H33 0.660 0.077 0.732
H34 0.660 0.084 0.928
H35 0.732 0.572 0.656
H36 0.732 0.660 0.077
H37 0.768 0.423 0.840
H38 0.768 0.844 0.928
H39 0.840 0.572 0.416
H40 0.840 0.768 0.423
H41 0.844 0.416 0.077
H42 0.844 0.928 0.768
H43 0.916 0.072 0.340
H44 0.916 0.344 0.577
H45 0.923 0.156 0.584
H46 0.923 0.268 0.340
H47 0.928 0.660 0.084
H48 0.928 0.768 0.844

---

A relaxed structure of SrNd3H. Source: Alexandria via LeMat-Bulk, functional PBE.

- Space-group type: No. 221
- Energy: -19.7 eV per formula unit
- Density: 5.8 g cm⁻³
- Crystal system: cubic

Cell lengths 5.297, 5.297, 5.297 Å; angles 90.00, 90.00, 90.00 degrees
Atoms (fractional coordinates):
Sr1 0.000 0.000 0.000
Nd1 0.000 0.500 0.500
Nd2 0.500 0.000 0.500
Nd3 0.500 0.500 0.000
H1 0.500 0.500 0.500